Entry 1:
DFT (PBE+U) results for crystalline Li8WO6 at its relaxed geometry.

Computed properties:
As for the crystal system: trigonal. The calculation puts the total energy at -81.110 eV/cell. Its calculated volume is 135.5 Å³ per cell.

Lattice parameters (Å, degrees): 6.065 6.065 6.065 53.97 53.97 53.97
Each line ends with the local moment (μB).
Fractional coordinates of all 15 atoms:
Li 0.764 0.101 0.495  0.00
Li 0.899 0.505 0.236  0.00
Li 0.505 0.236 0.899  0.00
Li 0.656 0.656 0.656  0.00
Li 0.344 0.344 0.344  0.00
Li 0.495 0.764 0.101  0.00
Li 0.101 0.495 0.764  0.00
Li 0.236 0.899 0.505  0.00
W 0.000 0.000 0.000  1.84
O 0.907 0.233 0.616  0.02
O 0.767 0.384 0.093  0.02
O 0.384 0.093 0.767  0.02
O 0.616 0.907 0.233  0.02
O 0.233 0.616 0.907  0.02
O 0.093 0.767 0.384  0.02



Entry 2:
DFT (PBE+U) results for crystalline Li2WO4 at its relaxed geometry.

Computed properties:
As for the crystal system: monoclinic. The calculation puts the total energy at -45.149 eV/cell. Its calculated volume is 81.4 Å³ per cell. The value obtained for the excess energy over the best structure of this formula in the dataset is 0.71 eV/f.u.

Lattice parameters (Å, degrees): 3.077 5.130 6.409 122.87 103.89 90.00
Fractional coordinates of all 7 atoms:
Li 0.671 0.762 0.342
Li 0.329 0.238 0.658
W 0.000 0.000 0.000
O 0.864 0.061 0.728
O 0.136 0.939 0.272
O 0.583 0.301 0.166
O 0.417 0.699 0.834



Entry 3:
DFT (PBE+U) results for crystalline Li3WO4 at its relaxed geometry.

Computed properties:
As for the crystal system: monoclinic. The calculation puts the total energy at -99.080 eV/cell. Its calculated volume is 155.5 Å³ per cell. The value obtained for the excess energy over the best structure of this formula in the dataset is 0.00 eV/f.u.

Lattice parameters (Å, degrees): 5.260 5.257 5.984 90.00 90.00 110.03
Each line ends with the local moment (μB).
Fractional coordinates of all 16 atoms:
O 0.984 0.247 0.644  0.01
O 0.496 0.223 0.885  0.03
O 0.484 0.247 0.356  0.01
O 0.996 0.223 0.115  0.03
O 0.004 0.777 0.885  0.03
O 0.516 0.753 0.644  0.01
O 0.504 0.777 0.115  0.03
O 0.016 0.753 0.356  0.01
W 0.750 0.000 0.855  0.95
W 0.250 0.000 0.145  0.95
Li 0.750 0.000 0.377  0.00
Li 0.250 0.000 0.623  0.00
Li 0.750 0.500 0.591  0.00
Li 0.750 0.500 0.135  0.00
Li 0.250 0.500 0.409  0.00
Li 0.250 0.500 0.865  0.00



Entry 4:
DFT (PBE+U) results for crystalline LiW3O at its relaxed geometry.

Computed properties:
As for the crystal system: cubic. The calculation puts the total energy at -24.536 eV/cell. Its calculated volume is 73.2 Å³ per cell. The value obtained for the excess energy over the best structure of this formula in the dataset is 0.00 eV/f.u.

Lattice parameters (Å, degrees): 4.184 4.184 4.184 90.00 90.00 90.00
Fractional coordinates of all 5 atoms:
O 0.000 0.000 0.000
W 0.000 0.500 0.000
W 0.000 0.000 0.500
W 0.500 0.000 0.000
Li 0.500 0.500 0.500



Entry 5:
DFT (PBE+U) results for crystalline Li5W2O7 at its relaxed geometry.

Computed properties:
As for the crystal system: triclinic. The calculation puts the total energy at -174.697 eV/cell. Its calculated volume is 286.0 Å³ per cell.

Lattice parameters (Å, degrees): 5.479 6.335 9.411 72.47 79.25 67.09
Each line ends with the local moment (μB).
Fractional coordinates of all 28 atoms:
Li 0.493 0.205 0.995  0.00
Li 0.507 0.795 0.005  0.00
Li 0.236 0.556 0.565  0.00
Li 0.764 0.444 0.435  0.00
Li 0.358 0.871 0.299  0.00
Li 0.642 0.129 0.701  0.00
Li 0.232 0.065 0.564  0.00
Li 0.768 0.935 0.436  0.00
Li 0.932 0.856 0.138  0.00
Li 0.068 0.144 0.862  0.00
W 0.934 0.312 0.143  1.87
W 0.066 0.688 0.857  1.87
W 0.346 0.403 0.296  0.98
W 0.654 0.597 0.704  0.98
O 0.205 0.044 0.070  0.02
O 0.795 0.956 0.930  0.02
O 0.495 0.256 0.492  0.05
O 0.505 0.744 0.508  0.05
O 0.616 0.581 0.218  0.04
O 0.384 0.419 0.782  0.04
O 0.178 0.515 0.085  0.02
O 0.822 0.485 0.915  0.02
O 0.092 0.676 0.348  -0.02
O 0.908 0.324 0.652  -0.02
O 0.890 0.796 0.652  0.03
O 0.110 0.204 0.348  0.03
O 0.353 0.851 0.793  0.01
O 0.647 0.149 0.207  0.01



Entry 6:
DFT (PBE+U) results for crystalline LiY2WO6 at its relaxed geometry.

Computed properties:
As for the crystal system: triclinic. The calculation puts the total energy at -79.748 eV/cell. Its calculated volume is 135.8 Å³ per cell.

Lattice parameters (Å, degrees): 5.590 5.562 6.023 61.66 61.56 60.19
Each line ends with the local moment (μB).
Fractional coordinates of all 10 atoms:
Li 0.780 0.778 0.659  0.00
Y 0.533 0.519 0.416  0.01
Y 0.013 0.026 0.933  0.00
W 0.323 0.323 0.030  0.94
O 0.581 0.228 0.230  0.03
O 0.237 0.969 0.220  -0.02
O 0.963 0.584 0.231  0.03
O 0.423 0.681 0.772  -0.01
O 0.692 0.123 0.757  0.02
O 0.117 0.430 0.768  0.01